(1)
# LiCr2As

A geometry-optimized LiCr2As structure (PBE, Alexandria).

abc: 5.013 8.314 2.602
angles: 90.00 111.87 90.00
Positions (direct):
Li 0.000 0.000 0.000
Li 0.500 0.500 0.000
Cr 0.250 0.250 0.500
Cr 0.250 0.750 0.500
Cr 0.750 0.250 0.500
Cr 0.750 0.750 0.500
As 0.000 0.500 0.000
As 0.500 0.000 0.000

Values from the calculation:
Density of states at the Fermi level   4.181 states/eV/f.u.
E   -6.141 eV per atom



(2)
# CuTe6Au3

A geometry-optimized CuTe6Au3 structure (PBE, Alexandria).

abc: 8.686 8.686 4.189
angles: 90.00 90.00 99.03
Positions (direct):
Cu 0.000 0.000 0.000
Te 0.113 0.887 0.500
Te 0.180 0.425 0.000
Te 0.425 0.180 0.000
Te 0.575 0.820 0.000
Te 0.820 0.575 0.000
Te 0.887 0.113 0.500
Au 0.000 0.500 0.500
Au 0.500 0.000 0.500
Au 0.500 0.500 0.000

Values from the calculation:
Density of states at the Fermi level   6.553 states/eV/f.u.
E_form (uncorrected)   0.065 eV/atom



(3)
# BeOsCl2O

A geometry-optimized BeOsCl2O structure (PBE, Alexandria).

abc: 3.941 3.941 5.714
angles: 90.00 90.00 90.00
Positions (direct):
Be 0.000 0.000 0.000
Os 0.000 0.000 0.500
Cl 0.000 0.500 0.000
Cl 0.500 0.000 0.000
O 0.500 0.500 0.500

Values from the calculation:
Density of states at the Fermi level   1.835 states/eV/f.u.
E_form (uncorrected)   1.041 eV/atom



(4)
# Ca2TbNd

A geometry-optimized Ca2TbNd structure (PBE, Alexandria).

abc: 5.098 5.098 5.609
angles: 90.00 90.00 90.00
Positions (direct):
Ca 0.000 0.500 0.000
Ca 0.500 0.000 0.000
Tb 0.000 0.000 0.500
Nd 0.500 0.500 0.500

Values from the calculation:
Density of states at the Fermi level   6.627 states/eV/f.u.
ΔE to the lowest computed polymorph   101 meV/atom